(1)
## AcGd2V (PBE-GGA)

Data for AcGd2V after structural relaxation.

Its symmetry is R-3m (166).

Cell: 10.8689 10.8689 10.8689 Å, 19.34 19.34 19.34°
Sites, in units of the cell vectors:
Ac1 0.0000 0.0000 0.0000
Gd1 0.2334 0.2334 0.2334
Gd2 0.7666 0.7666 0.7666
V1 0.5000 0.5000 0.5000


(2)
## AcGdY (PBE-GGA)

Data for AcGdY after structural relaxation.

Its symmetry is I4mm (107).

Cell: 8.1297 8.1297 8.1297 Å, 153.20 153.20 38.26°
Sites, in units of the cell vectors:
Ac1 0.0000 0.0000 0.0000
Gd1 0.3270 0.3270 0.0000
Y1 0.6709 0.6709 0.0000


Energy relative to the elements? In order: 0.41, 0.05 eV per atom.
Size of the total moment? In order: 4.182, 2.471 μB/atom.